Here is a relaxed structure of KCr2AgO7 from the Alexandria database. Energies are from PBE+U.

a b c (Å): 15.463 5.922 7.837
angles (deg): 90.00 90.00 90.00
Space group Pnma (No. 62)
Inequivalent atoms, fractional coordinates:
K 0.213 0.250 0.142 (multiplicity 4)
Cr 0.059 0.750 0.298 (multiplicity 4)
Cr 0.143 0.250 0.676 (multiplicity 4)
Ag 0.048 0.750 0.846 (multiplicity 4)
O 0.038 0.250 0.581 (multiplicity 4)
O 0.058 0.521 0.176 (multiplicity 8)
O 0.142 0.750 0.425 (multiplicity 4)
O 0.150 0.022 0.797 (multiplicity 8)
O 0.218 0.250 0.531 (multiplicity 4)

Results
crystal system = orthorhombic
E_tot = -0.447 Ry/atom
size of the total moment = 0.00 μB per formula unit
calculated density = 3.359 g/cm³